Entry from the Alexandria database: a relaxed Pr2Zn17 crystal (GGA-PBEsol).

Results
DOS at the Fermi energy, states/eV/atom: 0.248
Magnetization, μB/atom: 0.0000
E_tot, eV for the cell shown: -42.5

abc: 6.7228 6.7228 6.7228
angles: 82.93 82.93 82.93
With the nearest neighbours (Å) after each atom.
Positions (direct):
Pr 0.1637 0.1637 0.1637  19 Zn 3.09-3.41
Pr 0.8363 0.8363 0.8363  19 Zn 3.09-3.41
Zn 0.0000 0.5000 0.5000  10 Zn 2.55-2.72
Zn 0.1507 0.1507 0.6603  9 Zn 2.54-2.82
Zn 0.1507 0.6603 0.1507  9 Zn 2.54-2.82
Zn 0.2079 0.5000 0.7921  8 Zn 2.55-2.73
Zn 0.2079 0.7921 0.5000  8 Zn 2.55-2.73
Zn 0.3397 0.8493 0.8493  9 Zn 2.54-2.82
Zn 0.4016 0.4016 0.4016  7 Zn 2.56-2.82
Zn 0.5000 0.0000 0.5000  10 Zn 2.55-2.72
Zn 0.5000 0.2079 0.7921  8 Zn 2.55-2.73
Zn 0.5000 0.5000 0.0000  10 Zn 2.55-2.72
Zn 0.5000 0.7921 0.2079  8 Zn 2.55-2.73
Zn 0.5984 0.5984 0.5984  7 Zn 2.56-2.82
Zn 0.6603 0.1507 0.1507  9 Zn 2.54-2.82
Zn 0.7921 0.2079 0.5000  8 Zn 2.55-2.73
Zn 0.7921 0.5000 0.2079  8 Zn 2.55-2.73
Zn 0.8493 0.3397 0.8493  9 Zn 2.54-2.82
Zn 0.8493 0.8493 0.3397  9 Zn 2.54-2.82

Entry from the Alexandria database: a relaxed RbPt2 crystal (GGA-PBEsol).

Results
DOS at the Fermi energy, states/eV/atom: 0.345
Magnetization, μB/atom: 0.0000
E_tot, eV for the cell shown: -118.7

abc: 5.5289 5.5289 18.0763
angles: 90.00 90.00 120.00
With the nearest neighbours (Å) after each atom.
Positions (direct):
Rb 0.0000 0.0000 0.0925  12 Pt 3.23-3.27, 4 Rb 3.34-3.39
Rb 0.0000 0.0000 0.4075  12 Pt 3.23-3.27, 4 Rb 3.34-3.39
Rb 0.0000 0.0000 0.5925  12 Pt 3.23-3.27, 4 Rb 3.34-3.39
Rb 0.0000 0.0000 0.9075  12 Pt 3.23-3.27, 4 Rb 3.34-3.39
Rb 0.3333 0.6667 0.1563  12 Pt 3.24-3.25, 4 Rb 3.39
Rb 0.3333 0.6667 0.3437  12 Pt 3.24-3.25, 4 Rb 3.39
Rb 0.6667 0.3333 0.6563  12 Pt 3.24-3.25, 4 Rb 3.39
Rb 0.6667 0.3333 0.8437  12 Pt 3.24-3.25, 4 Rb 3.39
Pt 0.0000 0.5000 0.0000  6 Pt 2.72-2.76
Pt 0.0000 0.5000 0.5000  6 Pt 2.72-2.76
Pt 0.1672 0.3343 0.7500  6 Pt 2.76-2.81
Pt 0.1672 0.8328 0.7500  6 Pt 2.76-2.81
Pt 0.3333 0.6667 0.6219  6 Pt 2.72-2.81
Pt 0.3333 0.6667 0.8781  6 Pt 2.72-2.81
Pt 0.3343 0.1672 0.2500  6 Pt 2.76-2.81
Pt 0.5000 0.0000 0.0000  6 Pt 2.72-2.76
Pt 0.5000 0.0000 0.5000  6 Pt 2.72-2.76
Pt 0.5000 0.5000 0.0000  6 Pt 2.72-2.76
Pt 0.5000 0.5000 0.5000  6 Pt 2.72-2.76
Pt 0.6657 0.8328 0.7500  6 Pt 2.76-2.81
Pt 0.6667 0.3333 0.1219  6 Pt 2.72-2.81
Pt 0.6667 0.3333 0.3781  6 Pt 2.72-2.81
Pt 0.8328 0.1672 0.2500  6 Pt 2.76-2.81
Pt 0.8328 0.6657 0.2500  6 Pt 2.76-2.81

Entry from the Alexandria database: a relaxed RbPt3 crystal (GGA-PBEsol).

Results
Energy above the most stable polymorph in this dataset, eV per atom: 0.893
DOS at the Fermi energy, states/eV/atom: 2.084
Magnetization, μB/atom: 0.0017
E_tot, eV for the cell shown: -18.5

abc: 4.6917 4.6917 4.6917
angles: 60.00 60.00 60.00
With the nearest neighbours (Å) after each atom.
Positions (direct):
Rb 0.0000 0.0000 0.0000  8 Pt 2.87
Pt 0.2500 0.2500 0.2500  4 Rb 2.87, 4 Pt 2.87
Pt 0.5000 0.5000 0.5000  8 Pt 2.87
Pt 0.7500 0.7500 0.7500  4 Rb 2.87, 4 Pt 2.87

Entry from the Alexandria database: a relaxed RbPt3 crystal (GGA-PBEsol).

Results
Energy above the most stable polymorph in this dataset, eV per atom: 0.000
DOS at the Fermi energy, states/eV/atom: 0.783
Magnetization, μB/atom: 0.0000
E_tot, eV for the cell shown: -44.1

abc: 4.4520 7.7329 6.1459
angles: 90.00 90.00 90.00
With the nearest neighbours (Å) after each atom.
Positions (direct):
Rb 0.2500 0.2500 0.0563  6 Pt 3.31-3.63
Rb 0.7500 0.7500 0.9437  6 Pt 3.31-3.63
Pt 0.2500 0.0802 0.5508  6 Pt 2.59-2.63
Pt 0.2500 0.4198 0.5508  6 Pt 2.59-2.63
Pt 0.2500 0.7500 0.4777  6 Pt 2.59
Pt 0.7500 0.2500 0.5223  6 Pt 2.59
Pt 0.7500 0.5802 0.4492  6 Pt 2.59-2.63
Pt 0.7500 0.9198 0.4492  6 Pt 2.59-2.63

Entry from the Alexandria database: a relaxed RbPt2 crystal (GGA-PBEsol).

Results
DOS at the Fermi energy, states/eV/atom: 0.530
Magnetization, μB/atom: 0.0000
E_tot, eV for the cell shown: -14.8

abc: 6.3777 6.3777 6.3777
angles: 154.67 140.17 47.80
With the nearest neighbours (Å) after each atom.
Positions (direct):
Rb 0.0000 0.0000 0.0000  2 Rb 2.80, 2 Pt 3.12
Pt 0.2675 0.2675 0.0000  6 Pt 2.62-2.80
Pt 0.7325 0.7325 0.0000  6 Pt 2.62-2.80

Entry from the Alexandria database: a relaxed RbPt3 crystal (GGA-PBEsol).

Results
Energy above the most stable polymorph in this dataset, eV per atom: 0.474
DOS at the Fermi energy, states/eV/atom: 1.520
Magnetization, μB/atom: 0.0033
E_tot, eV for the cell shown: -20.1

abc: 2.8440 2.8440 10.1987
angles: 90.00 90.00 120.00
With the nearest neighbours (Å) after each atom.
Positions (direct):
Rb 0.0000 0.0000 0.0000  6 Rb 2.84
Pt 0.0000 0.0000 0.5000  12 Pt 2.79-2.84
Pt 0.6667 0.3333 0.2792  9 Pt 2.79-2.84
Pt 0.6667 0.3333 0.7208  9 Pt 2.79-2.84

Entry from the Alexandria database: a relaxed RbPt2 crystal (GGA-PBEsol).

Results
DOS at the Fermi energy, states/eV/atom: 1.169
Magnetization, μB/atom: 0.0002
E_tot, eV for the cell shown: -27.6

abc: 10.8009 10.8009 4.5526
angles: 90.00 90.00 164.73
With the nearest neighbours (Å) after each atom.
Positions (direct):
Rb 0.0794 0.9206 0.7500  2 Rb 2.87
Rb 0.9206 0.0794 0.2500  2 Rb 2.87
Pt 0.2728 0.7272 0.2500  10 Pt 2.65-2.87
Pt 0.3364 0.6636 0.7500  6 Pt 2.65-2.87
Pt 0.6636 0.3364 0.2500  6 Pt 2.65-2.87
Pt 0.7272 0.2728 0.7500  10 Pt 2.65-2.87

Entry from the Alexandria database: a relaxed Rb4Pt crystal (GGA-PBEsol).

Results
DOS at the Fermi energy, states/eV/atom: 1.576
Magnetization, μB/atom: 0.0211
E_tot, eV for the cell shown: -8.0

abc: 11.8613 11.8613 11.8613
angles: 155.52 155.52 34.90
With the nearest neighbours (Å) after each atom.
Positions (direct):
Rb 0.0710 0.0710 0.0000  1 Rb 3.22
Rb 0.2500 0.7500 0.5000  4 Rb 3.56
Rb 0.7500 0.2500 0.5000  4 Rb 3.56
Rb 0.9290 0.9290 0.0000  1 Rb 3.22
Pt 0.5000 0.5000 0.0000  8 Rb 3.90

- Number 2 is which compound?
  RbPt2

- What is the formula in the fourth record?
  RbPt3